HfZr2Ni3As4Pd: optimized geometry, PBE.

Properties
* space-group type: Pm, No. 6

a b c (Å): 6.5271 3.8617 7.3431
angles (deg): 90.00 91.13 90.00
Last column: nearest neighbours and their distance in Å.
Positions (direct):
Hf1 0.4728 0.0000 0.6953  5 As 2.75-2.80, 5 Ni 2.78-3.01
As1 0.2382 0.5000 0.8736  4 Ni 2.37-2.50, 1 Zr 2.63
As2 0.7677 0.5000 0.6517  2 Ni 2.39-2.62, 2 Pd 2.51
As3 0.2428 0.0000 0.3759  3 Ni 2.43-2.47, 1 Pd 2.60
As4 0.7389 0.0000 0.0986  3 Ni 2.37-2.46
Pd1 0.8547 0.0000 0.4486  4 As 2.51-2.66
Zr1 0.5324 0.5000 0.3177  5 As 2.74-2.87, 3 Ni 2.80-2.91, 2 Pd 3.00
Zr2 0.0245 0.5000 0.1739  5 As 2.63-2.81, 1 Ni 2.93
Ni1 0.6139 0.5000 0.9449  4 As 2.37-2.50
Ni2 0.3636 0.0000 0.0591  4 As 2.46-2.49, 2 Ni 2.67
Ni3 0.1525 0.5000 0.5581  4 As 2.37-2.62

---

PmPOsO: optimized geometry, PBE.

Properties
* space-group type: Pmc2_1, No. 26

a b c (Å): 4.3309 4.1597 7.0290
angles (deg): 90.00 90.00 90.00
Last column: nearest neighbours and their distance in Å.
Positions (direct):
Pm1 0.0000 0.7582 0.6022  3 O 2.36-2.38
Pm2 0.0000 0.2418 0.1022  3 O 2.36-2.38
O1 0.0000 0.2595 0.4385  2 Os 2.17, 3 Pm 2.36-2.38
O2 0.0000 0.7405 0.9385  2 Os 2.17, 3 Pm 2.36-2.38
P1 0.5000 0.7580 0.2746  3 Os 2.36-2.38
P2 0.5000 0.2420 0.7746  3 Os 2.36-2.38
Os1 0.5000 0.7406 0.9387  2 O 2.17, 3 P 2.36-2.38
Os2 0.5000 0.2594 0.4387  2 O 2.17, 3 P 2.36-2.38

---

Number 1: M_tot 0.00 μB/atom, energy above the most stable polymorph in this dataset 0.000 eV per atom, volume 16.82 Å³/atom. Number 2: M_tot 0.00 μB/atom, energy above the most stable polymorph in this dataset 0.601 eV per atom, volume 15.83 Å³/atom.